# AlAgSn | Alexandria via LeMat-Bulk | PBE | optimized geometry
# M_tot   0.00 μB per cell
# Uncorrected energy   -3.4980 eV per atom
# DFT formation energy   0.03 eV/atom
# Volume   125.06 Å³/cell
data_AlAgSn
_chemical_formula_sum 'Al2 Ag2 Sn2'
_cell_length_a 4.1106
_cell_length_b 4.1106
_cell_length_c 7.4013
_cell_angle_alpha 90.00
_cell_angle_beta 90.00
_cell_angle_gamma 90.00
_space_group_name_H-M_alt 'P 4/n m m'
_space_group_IT_number 129
loop_
_space_group_symop_operation_xyz
'x,y,z'
'-x,-y,-z'
'-y+1/2,x,z'
'y+1/2,-x,-z'
'-x+1/2,-y+1/2,z'
'x+1/2,y+1/2,-z'
'y,-x+1/2,z'
'-y,x+1/2,-z'
'x+1/2,-y,-z'
'-x+1/2,y,z'
'-y,-x,-z'
'y,x,z'
'-x,y+1/2,-z'
'x,-y+1/2,z'
'y+1/2,x+1/2,-z'
'-y+1/2,-x+1/2,z'
loop_
_atom_site_label
_atom_site_fract_x
_atom_site_fract_y
_atom_site_fract_z
_atom_site_occupancy
Al1 0.2500 0.7500 0.0000 1
Ag1 0.2500 0.2500 0.2390 1
Sn1 0.2500 0.2500 0.6369 1


# AlFeSe2 | Alexandria via LeMat-Bulk | PBE | optimized geometry
# M_tot   3.39 μB per cell
# Formation energy (no corrections)   0.0940 eV/atom
# Uncorrected energy   -4.6996 eV per atom
# Volume   87.83 Å³/cell
data_AlFeSe2
_chemical_formula_sum 'Al1 Fe1 Se2'
_cell_length_a 3.5580
_cell_length_b 3.5782
_cell_length_c 6.8987
_cell_angle_alpha 90.00
_cell_angle_beta 90.00
_cell_angle_gamma 90.00
_space_group_name_H-M_alt 'P m m m'
_space_group_IT_number 47
_space_group_name_Hall '-P 2 2'
loop_
_atom_site_label
_atom_site_fract_x
_atom_site_fract_y
_atom_site_fract_z
_atom_site_occupancy
Al1 0.0000 0.0000 0.0000 1
Fe1 0.0000 0.5000 0.5000 1
Se1 0.5000 0.0000 0.5000 1
Se2 0.5000 0.5000 0.0000 1


# P3C | Alexandria via LeMat-Bulk | PBE | optimized geometry
# M_tot   0.00 μB per cell
# Uncorrected energy   -5.6928 eV per atom
# DFT formation energy   0.67 eV/atom
# Volume   51.17 Å³/cell
# Excess energy over the best structure of this formula in the dataset   262.3 meV per atom
data_P3C
_chemical_formula_sum 'P3 C1'
_cell_length_a 3.1377
_cell_length_b 4.3941
_cell_length_c 3.7116
_cell_angle_alpha 90.00
_cell_angle_beta 90.00
_cell_angle_gamma 90.00
_space_group_name_H-M_alt 'P m m 2'
_space_group_IT_number 25
_space_group_name_Hall 'P 2 -2'
loop_
_atom_site_label
_atom_site_fract_x
_atom_site_fract_y
_atom_site_fract_z
_atom_site_occupancy
P1 0.0000 0.0000 0.0000 1
P2 0.0000 0.5000 0.1751 1
P3 0.5000 0.0000 0.5609 1
C1 0.5000 0.5000 0.4524 1


# Cd2GaMoAs | Alexandria via LeMat-Bulk | PBE | optimized geometry
# M_tot   1.73 μB per cell
# Uncorrected energy   -2.9680 eV per atom
# DFT formation energy   1.10 eV/atom
# Volume   138.35 Å³/cell
data_Cd2GaMoAs
_chemical_formula_sum 'Cd2 Ga1 Mo1 As1'
_cell_length_a 5.3103
_cell_length_b 5.3103
_cell_length_c 4.9061
_cell_angle_alpha 90.00
_cell_angle_beta 90.00
_cell_angle_gamma 90.00
_space_group_name_H-M_alt 'P 4/m m m'
_space_group_IT_number 123
_space_group_name_Hall '-P 4 2'
loop_
_atom_site_label
_atom_site_fract_x
_atom_site_fract_y
_atom_site_fract_z
_atom_site_occupancy
Cd1 0.0000 0.5000 0.0000 1
Ga1 0.0000 0.0000 0.5000 1
Mo1 0.0000 0.0000 0.0000 1
As1 0.5000 0.5000 0.5000 1


# AlFeIr | Alexandria via LeMat-Bulk | PBE | optimized geometry
# M_tot   10.89 μB per cell
# Uncorrected energy   -7.5500 eV per atom
# DFT formation energy   -0.53 eV/atom
# Volume   159.50 Å³/cell
data_AlFeIr
_chemical_formula_sum 'Al4 Fe4 Ir4'
_cell_length_a 2.9463
_cell_length_b 12.9943
_cell_length_c 4.1660
_cell_angle_alpha 90.00
_cell_angle_beta 90.00
_cell_angle_gamma 90.00
_space_group_name_H-M_alt 'C m c m'
_space_group_IT_number 63
_space_group_name_Hall '-C 2c 2'
loop_
_atom_site_label
_atom_site_fract_x
_atom_site_fract_y
_atom_site_fract_z
_atom_site_occupancy
Al1 0.0000 0.0859 0.2500 1
Fe1 0.0000 0.2504 0.7500 1
Ir1 0.0000 0.4157 0.2500 1


# HoScPt2 | Alexandria via LeMat-Bulk | PBE | optimized geometry
# M_tot   0.00 μB per cell
# Uncorrected energy   -6.9584 eV per atom
# DFT formation energy   -1.21 eV/atom
# Volume   313.77 Å³/cell
# Excess energy over the best structure of this formula in the dataset   19.5 meV per atom
data_HoScPt2
_chemical_formula_sum 'Ho4 Sc4 Pt8'
_cell_length_a 6.7953
_cell_length_b 6.7953
_cell_length_c 6.7953
_cell_angle_alpha 90.00
_cell_angle_beta 90.00
_cell_angle_gamma 90.00
_space_group_name_H-M_alt 'F m -3 m'
_space_group_IT_number 225
_space_group_name_Hall '-F 4 2 3'
loop_
_atom_site_label
_atom_site_fract_x
_atom_site_fract_y
_atom_site_fract_z
_atom_site_occupancy
Ho1 0.0000 0.0000 0.0000 1
Sc1 0.0000 0.0000 0.5000 1
Pt1 0.2500 0.2500 0.2500 1


# Al2PPt | Alexandria via LeMat-Bulk | PBE | optimized geometry
# M_tot   0.00 μB per cell
# Uncorrected energy   -5.1800 eV per atom
# DFT formation energy   -0.45 eV/atom
# Volume   65.01 Å³/cell
data_Al2PPt
_chemical_formula_sum 'Al2 P1 Pt1'
_cell_length_a 3.5117
_cell_length_b 3.5117
_cell_length_c 5.2718
_cell_angle_alpha 90.00
_cell_angle_beta 90.00
_cell_angle_gamma 90.00
_space_group_name_H-M_alt 'P 4 m m'
_space_group_IT_number 99
_space_group_name_Hall 'P 4 -2'
loop_
_atom_site_label
_atom_site_fract_x
_atom_site_fract_y
_atom_site_fract_z
_atom_site_occupancy
Al1 0.0000 0.0000 0.0000 1
Al2 0.5000 0.5000 0.3646 1
P1 0.0000 0.0000 0.4696 1
Pt1 0.5000 0.5000 0.8825 1


# KCuP2 | Alexandria via LeMat-Bulk | PBE | optimized geometry
# M_tot   0.00 μB per cell
# Uncorrected energy   -4.0641 eV per atom
# DFT formation energy   -0.06 eV/atom
# Volume   371.09 Å³/cell
# Excess energy over the best structure of this formula in the dataset   73.9 meV per atom
data_KCuP2
_chemical_formula_sum 'K4 Cu4 P8'
_cell_length_a 4.8560
_cell_length_b 4.8560
_cell_length_c 15.7369
_cell_angle_alpha 90.00
_cell_angle_beta 90.00
_cell_angle_gamma 90.00
_space_group_name_H-M_alt 'I 41/a m d'
_space_group_IT_number 141
loop_
_space_group_symop_operation_xyz
'x,y,z'
'-x,-y,-z'
'-y+1/4,x+3/4,z+1/4'
'y+1/4,-x+3/4,-z+1/4'
'-x+1/2,-y,z+1/2'
'x+1/2,y,-z+1/2'
'y+1/4,-x+1/4,z+3/4'
'-y+1/4,x+1/4,-z+3/4'
'x,-y,-z'
'-x,y,z'
'-y+1/4,-x+1/4,-z+3/4'
'y+1/4,x+1/4,z+3/4'
'-x+1/2,y,-z+1/2'
'x+1/2,-y,z+1/2'
'y+1/4,x+3/4,-z+1/4'
'-y+1/4,-x+3/4,z+1/4'
'x+1/2,y+1/2,z+1/2'
'-x+1/2,-y+1/2,-z+1/2'
'-y+3/4,x+1/4,z+3/4'
'y+3/4,-x+1/4,-z+3/4'
'-x,-y+1/2,z'
'x,y+1/2,-z'
'y+3/4,-x+3/4,z+1/4'
'-y+3/4,x+3/4,-z+1/4'
'x+1/2,-y+1/2,-z+1/2'
'-x+1/2,y+1/2,z+1/2'
'-y+3/4,-x+3/4,-z+1/4'
'y+3/4,x+3/4,z+1/4'
'-x,y+1/2,-z'
'x,-y+1/2,z'
'y+3/4,x+1/4,-z+3/4'
'-y+3/4,-x+1/4,z+3/4'
loop_
_atom_site_label
_atom_site_fract_x
_atom_site_fract_y
_atom_site_fract_z
_atom_site_occupancy
K1 0.0000 0.2500 0.3750 1
Cu1 0.0000 0.2500 0.8750 1
P1 0.0000 0.0000 0.0000 1


# ZnReRh | Alexandria via LeMat-Bulk | PBE | optimized geometry
# M_tot   0.00 μB per cell
# Uncorrected energy   -7.1473 eV per atom
# DFT formation energy   -0.12 eV/atom
# Volume   171.80 Å³/cell
# Excess energy over the best structure of this formula in the dataset   51.3 meV per atom
data_ZnReRh
_chemical_formula_sum 'Zn4 Re4 Rh4'
_cell_length_a 2.8821
_cell_length_b 13.7370
_cell_length_c 4.3393
_cell_angle_alpha 90.00
_cell_angle_beta 90.00
_cell_angle_gamma 90.00
_space_group_name_H-M_alt 'C m c m'
_space_group_IT_number 63
_space_group_name_Hall '-C 2c 2'
loop_
_atom_site_label
_atom_site_fract_x
_atom_site_fract_y
_atom_site_fract_z
_atom_site_occupancy
Zn1 0.0000 0.0622 0.2500 1
Re1 0.0000 0.2672 0.7500 1
Rh1 0.0000 0.3980 0.2500 1


# NaHg2Pd3 | Alexandria via LeMat-Bulk | PBE | optimized geometry
# M_tot   0.00 μB per cell
# Uncorrected energy   -3.0831 eV per atom
# DFT formation energy   -0.17 eV/atom
# Volume   216.14 Å³/cell
# Excess energy over the best structure of this formula in the dataset   0.0 meV per atom
data_NaHg2Pd3
_chemical_formula_sum 'Na2 Hg4 Pd6'
_cell_length_a 4.6912
_cell_length_b 4.6912
_cell_length_c 11.3406
_cell_angle_alpha 90.00
_cell_angle_beta 90.00
_cell_angle_gamma 120.00
_space_group_name_H-M_alt 'P -3 m 1'
_space_group_IT_number 164
_space_group_name_Hall '-P 3 2"'
loop_
_atom_site_label
_atom_site_fract_x
_atom_site_fract_y
_atom_site_fract_z
_atom_site_occupancy
Na1 0.3333 0.6667 0.1693 1
Hg1 0.0000 0.0000 0.0000 1
Hg2 0.0000 0.0000 0.5000 1
Hg3 0.3333 0.6667 0.6741 1
Pd1 0.0000 0.0000 0.2537 1
Pd2 0.3333 0.6667 0.4227 1
Pd3 0.3333 0.6667 0.9222 1